First-principles (PBE-GGA) data for a relaxed Ge2SbMo crystal, as listed in the Open Quantum Materials Database.

Cell and atoms, written as extended XYZ:
```
4
Lattice="0.000 3.351 3.351 3.351 0.000 3.351 3.351 3.351 0.000" Properties=species:S:1:pos:R:3 pbc="T T T"
Ge 0.000 0.000 0.000
Ge 1.675 1.675 1.675
Sb 3.351 3.351 3.351
Mo 5.026 5.026 5.026
```

Results
DFT total energy (eV per atom): -5.5068
Space group: F-43m (216)
Crystal system: cubic
Total magnetization (μB/f.u.): 1.0